Below is a relaxed AlCuAg6 crystal, with properties calculated at the PBE-GGA level.

- N(E_F) (states/eV per atom) = 0.3322
- size of the total moment (μB per formula unit) = 0.00
- relative energy among the computed polymorphs (meV/atom) = 172
- ρ (kg/m³) = 7597
- energy of formation (eV per atom) = 0.286

Unit cell a=7.5520 b=7.5520 c=5.4469 alpha=46.11 beta=46.11 gamma=60.00
With the nearest neighbours (Å) after each atom.
Atoms (fractional coordinates):
Cu1 0.5000 0.5000 0.5000  6 Ag 2.59
Ag1 0.1703 0.1703 0.1128  1 Cu 2.59, 1 Al 2.74, 5 Ag 2.75-2.84
Ag2 0.8297 0.8297 0.8872  1 Cu 2.59, 1 Al 2.74, 5 Ag 2.75-2.84
Ag3 0.4534 0.8297 0.8872  1 Cu 2.59, 1 Al 2.74, 5 Ag 2.75-2.84
Ag4 0.8297 0.4534 0.8872  1 Cu 2.59, 1 Al 2.74, 5 Ag 2.75-2.84
Ag5 0.1703 0.5466 0.1128  1 Cu 2.59, 1 Al 2.74, 5 Ag 2.75-2.84
Ag6 0.5466 0.1703 0.1128  1 Cu 2.59, 1 Al 2.74, 5 Ag 2.75-2.84
Al1 0.0000 0.0000 0.0000  6 Ag 2.74